A geometry-optimized Li2NpPaN4 structure, computed with PBE.

abc: 4.378 4.378 6.439
angles: 109.88 109.88 89.99
Site moments in Bohr magnetons follow the coordinates.
Atoms (fractional coordinates):
1 N 0.711 0.711 0.423  -0.11
2 N 0.547 0.047 0.094  -0.04
3 N 0.289 0.289 0.577  -0.11
4 N 0.953 0.453 0.906  -0.04
5 Li 0.250 0.750 0.500  0.01
6 Li 0.000 0.000 0.000  0.00
7 Pa 0.500 0.500 0.000  0.03
8 Np 0.750 0.250 0.500  2.23

**Raw total energy**: -8.649 eV per atom
**M_tot**: 2.0 μB/f.u.
**Crystal system**: tetragonal